Entry 1:
Computed, not measured: an optimized crystal structure of Zr3AlGa2CuIr2 at the PBE level of DFT.

Calculated values
Magnetic moment = 0.004 μB per cell
Volume = 17.21 Å³/atom
Space-group type = Amm2, No. 38
Final energy = -63.40 eV/f.u.

Unit cell a=3.427 b=7.237 c=7.237 alpha=120.35 beta=90.00 gamma=90.00
Positions (direct):
Ga (0.000, 0.998, 0.260)
Ga (0.000, 0.260, 0.998)
Zr (0.500, 0.001, 0.601)
Zr (0.500, 0.394, 0.394)
Zr (0.500, 0.601, 0.001)
Al (0.000, 0.739, 0.739)
Cu (0.500, 0.998, 0.998)
Ir (0.000, 0.669, 0.340)
Ir (0.000, 0.340, 0.669)

---

Entry 2:
Computed, not measured: an optimized crystal structure of ZrFeNi2 at the PBE level of DFT.

Calculated values
Formation energy = -0.4 eV per formula unit
Magnetic moment = 2.383 μB per cell
Volume = 13.55 Å³/atom
Space-group type = F-43m, No. 216

Unit cell a=4.248 b=4.248 c=4.248 alpha=60.00 beta=60.00 gamma=60.00
Positions (direct):
Ni (0.750, 0.750, 0.750)
Ni (0.000, 0.000, 0.000)
Zr (0.500, 0.500, 0.500)
Fe (0.250, 0.250, 0.250)

---

Entry 3:
Computed, not measured: an optimized crystal structure of HfCuGe at the PBE level of DFT.

Calculated values
Magnetic moment = 0.000 μB per cell
Volume = 16.15 Å³/atom
Space-group type = I4/mmm, No. 139
Final energy = -19.83 eV/f.u.

Unit cell a=7.278 b=7.278 c=7.278 alpha=149.87 beta=149.87 gamma=43.13
Positions (direct):
Ge (0.873, 0.873, 0.000)
Ge (0.127, 0.127, 0.000)
Cu (0.000, 0.500, 0.500)
Cu (0.500, 0.000, 0.500)
Hf (0.330, 0.330, 0.000)
Hf (0.670, 0.670, 0.000)

---

Q: Among the records above, which one has the lowest volume?
A: ZrFeNi2

---

Q: Among the records above, which one has the lowest magnetic moment?
A: HfCuGe